[1]
Compound: Na3SiBr
Source: Alexandria via LeMat-Bulk
Functional: PBE
Structure: relaxed

Summary:
E_form (uncorrected), kJ/mol of atoms: -10.63
Relative energy among the computed polymorphs, eV/atom: 0.0000
ρ, g/cm3: 1.8

a = 5.4485 Å, b = 5.4485 Å, c = 5.4485 Å
α = 90.00°, β = 90.00°, γ = 90.00°
Space group Pm-3m (No. 221)
One atom of each set of equivalent atoms:
Na1 0.0000 0.0000 0.5000 [3 per cell]
Si1 0.5000 0.5000 0.5000 [1 per cell]
Br1 0.0000 0.0000 0.0000 [1 per cell]

***

[2]
Compound: NaSi2Br
Source: Alexandria via LeMat-Bulk
Functional: PBE
Structure: relaxed

Summary:
E_form (uncorrected), kJ/mol of atoms: 44.91
Relative energy among the computed polymorphs, eV/atom: 0.0000
ρ, g/cm3: 2.6

a = 8.8167 Å, b = 8.8167 Å, c = 5.1509 Å
α = 90.00°, β = 90.00°, γ = 90.00°
Space group I-42d (No. 122)
One atom of each set of equivalent atoms:
Na1 0.0000 0.0000 0.0000 [4 per cell]
Si1 0.2301 0.2500 0.6250 [8 per cell]
Br1 0.0000 0.0000 0.5000 [4 per cell]

***

[3]
Compound: NaSi3Br
Source: Alexandria via LeMat-Bulk
Functional: PBE
Structure: relaxed

Summary:
E_form (uncorrected), kJ/mol of atoms: 108.26
Relative energy among the computed polymorphs, eV/atom: 0.0000
ρ, g/cm3: 2.3

a = 5.1147 Å, b = 5.1147 Å, c = 5.1147 Å
α = 90.00°, β = 90.00°, γ = 90.00°
Space group Pm-3m (No. 221)
One atom of each set of equivalent atoms:
Na1 0.0000 0.0000 0.0000 [1 per cell]
Si1 0.0000 0.5000 0.5000 [3 per cell]
Br1 0.5000 0.5000 0.5000 [1 per cell]

***

[4]
Compound: Na2SiTcBr
Source: Alexandria via LeMat-Bulk
Functional: PBE
Structure: relaxed

Summary:
E_form (uncorrected), kJ/mol of atoms: 28.94
ρ, g/cm3: 2.8

a = 5.7005 Å, b = 5.7005 Å, c = 4.6178 Å
α = 90.00°, β = 90.00°, γ = 90.00°
Space group P4/mmm (No. 123)
One atom of each set of equivalent atoms:
Na1 0.0000 0.5000 0.0000 [2 per cell]
Si1 0.0000 0.0000 0.0000 [1 per cell]
Tc1 0.0000 0.0000 0.5000 [1 per cell]
Br1 0.5000 0.5000 0.5000 [1 per cell]

***

[5]
Compound: Na2VSiBr
Source: Alexandria via LeMat-Bulk
Functional: PBE
Structure: relaxed

Summary:
E_form (uncorrected), kJ/mol of atoms: 18.97
ρ, g/cm3: 2.3

a = 5.5787 Å, b = 5.5787 Å, c = 4.7578 Å
α = 90.00°, β = 90.00°, γ = 90.00°
Space group P4/mmm (No. 123)
One atom of each set of equivalent atoms:
Na1 0.0000 0.5000 0.0000 [2 per cell]
V1 0.0000 0.0000 0.5000 [1 per cell]
Si1 0.0000 0.0000 0.0000 [1 per cell]
Br1 0.5000 0.5000 0.5000 [1 per cell]

***

[6]
Compound: NaSm2Br6
Source: Alexandria via LeMat-Bulk
Functional: PBE
Structure: relaxed

Summary:
E_form (uncorrected), kJ/mol of atoms: -163.06
Relative energy among the computed polymorphs, eV/atom: 0.0000
ρ, g/cm3: 4.2

a = 7.1971 Å, b = 7.1971 Å, c = 6.9990 Å
α = 90.00°, β = 90.00°, γ = 120.00°
Space group P-31m (No. 162)
One atom of each set of equivalent atoms:
Na1 0.0000 0.0000 0.0000 [1 per cell]
Sm1 0.3333 0.6667 0.5000 [2 per cell]
Br1 0.0000 0.3423 0.7427 [6 per cell]

***

[7]
Compound: NaSm2Br6
Source: Alexandria via LeMat-Bulk
Functional: PBE
Structure: relaxed

Summary:
E_form (uncorrected), kJ/mol of atoms: -162.28
Relative energy among the computed polymorphs, eV/atom: 0.0081
ρ, g/cm3: 4.3

a = 7.0671 Å, b = 7.0671 Å, c = 12.4837 Å
α = 90.00°, β = 90.00°, γ = 90.00°
Space group P4_2/mnm (No. 136)
One atom of each set of equivalent atoms:
Na1 0.0000 0.0000 0.0000 [2 per cell]
Sm1 0.0000 0.0000 0.3460 [4 per cell]
Br1 0.2078 0.2078 0.1739 [8 per cell]
Br2 0.2130 0.2130 0.5000 [4 per cell]

***

[8]
Compound: Na3SmBr6
Source: Alexandria via LeMat-Bulk
Functional: PBE
Structure: relaxed

Summary:
E_form (uncorrected), kJ/mol of atoms: -161.32
ρ, g/cm3: 3.7

a = 7.3807 Å, b = 7.8181 Å, c = 13.1389 Å
α = 90.00°, β = 123.23°, γ = 90.00°
Space group P2_1/c (No. 14)
One atom of each set of equivalent atoms:
Na1 0.0000 0.0000 0.0000 [2 per cell]
Na2 0.2072 0.0774 0.7304 [4 per cell]
Sm1 0.5000 0.0000 0.5000 [2 per cell]
Br1 0.1169 0.1806 0.4382 [4 per cell]
Br2 0.2418 0.6935 0.4130 [4 per cell]
Br3 0.4040 0.0731 0.2600 [4 per cell]

***

| no. | uncorrected energy (eV per atom) |
| --- | --- |
| 1 | -2.321 |
| 2 | -2.994 |
| 3 | -2.730 |
| 4 | -3.720 |
| 5 | -3.574 |
| 6 | -4.000 |
| 7 | -3.992 |
| 8 | -3.543 |